{
  "formula": "HfTcSbTe2",
  "functional": "PBE-GGA",
  "state": "optimized geometry",
  "cell": [[-2.956, -4.118, 1.424], [2.547, -3.029, -3.472], [3.351, -1.195, 3.501]],
  "species": ["Sb", "Te", "Te", "Hf", "Tc"],
  "frac_coords": [[0.000, 0.000, 0.500], [0.000, 0.500, 0.000], [0.500, 0.000, 0.000], [0.500, 0.500, 0.500], [0.000, 0.000, 0.000]],
  "magnetic_moment_mub_per_atom": 0.000,
  "raw_formation_energy_mev_per_atom": 754,
  "n_ef_per_ev_fu": 7.94,
  "space_group": "P4/mmm",
  "final_energy_ry_per_atom": -0.396
}

***

{
  "formula": "LiGeBr5",
  "functional": "PBE-GGA",
  "state": "optimized geometry",
  "cell": [[8.685, -1.163, -2.479], [-2.489, 8.416, -2.478], [-0.298, -0.348, 8.477]],
  "species": ["Li", "Li", "Ge", "Ge", "Br", "Br", "Br", "Br", "Br", "Br", "Br", "Br", "Br", "Br"],
  "frac_coords": [[0.500, 0.000, 0.000], [0.500, 0.000, 0.500], [0.858, 0.642, 0.250], [0.142, 0.358, 0.750], [0.837, 0.801, 0.085], [0.141, 0.740, 0.454], [0.423, 0.076, 0.250], [0.699, 0.663, 0.415], [0.301, 0.337, 0.585], [0.761, 0.360, 0.046], [0.239, 0.640, 0.954], [0.577, 0.924, 0.750], [0.859, 0.260, 0.546], [0.163, 0.199, 0.915]],
  "magnetic_moment_mub_per_atom": 0.004,
  "raw_formation_energy_mev_per_atom": -801,
  "n_ef_per_ev_fu": 0.00,
  "space_group": "P-1",
  "final_energy_ry_per_atom": -0.215
}

***

{
  "formula": "NaSr2RuCl",
  "functional": "PBE-GGA",
  "state": "optimized geometry",
  "cell": [[6.027, 0.000, 0.000], [0.000, 4.639, 0.000], [0.000, 0.000, 6.027]],
  "species": ["Ru", "Cl", "Na", "Sr", "Sr"],
  "frac_coords": [[0.000, 0.000, 0.000], [0.000, 0.500, 0.000], [0.500, 0.500, 0.500], [0.000, 0.000, 0.500], [0.500, 0.000, 0.000]],
  "magnetic_moment_mub_per_atom": 0.000,
  "raw_formation_energy_mev_per_atom": 2,
  "n_ef_per_ev_fu": 3.44,
  "space_group": "P4/mmm",
  "final_energy_ry_per_atom": -0.232
}

***

{
  "formula": "CsSc3F10",
  "functional": "PBE-GGA",
  "state": "optimized geometry",
  "cell": [[6.923, 0.000, 0.000], [0.000, 7.655, 0.000], [0.000, 0.000, 8.199]],
  "species": ["Cs", "Cs", "Sc", "Sc", "Sc", "Sc", "Sc", "Sc", "F", "F", "F", "F", "F", "F", "F", "F", "F", "F", "F", "F", "F", "F", "F", "F", "F", "F", "F", "F"],
  "frac_coords": [[0.001, 0.500, 0.750], [0.999, 0.500, 0.250], [0.000, 0.000, 0.500], [0.000, 0.000, 0.000], [0.500, 0.731, 0.500], [0.500, 0.269, 0.000], [0.500, 0.269, 0.500], [0.500, 0.731, 0.000], [0.329, 0.500, 0.499], [0.671, 0.500, 0.999], [0.671, 0.500, 0.501], [0.329, 0.500, 0.001], [0.500, 0.000, 0.500], [0.500, 0.000, 0.000], [0.200, 0.194, 0.004], [0.800, 0.806, 0.504], [0.800, 0.194, 0.996], [0.200, 0.806, 0.496], [0.496, 0.275, 0.750], [0.504, 0.725, 0.250], [0.504, 0.275, 0.250], [0.496, 0.725, 0.750], [0.006, 0.000, 0.750], [0.994, 0.000, 0.250], [0.200, 0.194, 0.496], [0.800, 0.806, 0.996], [0.800, 0.194, 0.504], [0.200, 0.806, 0.004]],
  "magnetic_moment_mub_per_atom": 0.000,
  "raw_formation_energy_mev_per_atom": -3825,
  "n_ef_per_ev_fu": 0.00,
  "space_group": "Pmma",
  "final_energy_ry_per_atom": -0.484
}

***

{
  "formula": "Tl2Te2O5",
  "functional": "PBE-GGA",
  "state": "optimized geometry",
  "cell": [[-1.820, 3.627, -1.243], [-2.242, -5.140, -4.467], [-5.854, -2.207, 2.131]],
  "species": ["Tl", "Tl", "Te", "Te", "O", "O", "O", "O", "O"],
  "frac_coords": [[0.381, 0.763, 0.430], [0.619, 0.237, 0.570], [0.147, 0.295, 0.007], [0.853, 0.705, 0.993], [0.322, 0.644, 0.997], [0.678, 0.356, 0.003], [0.197, 0.393, 0.703], [0.803, 0.607, 0.297], [0.000, 0.000, 0.000]],
  "magnetic_moment_mub_per_atom": 0.000,
  "raw_formation_energy_mev_per_atom": -897,
  "n_ef_per_ev_fu": 0.00,
  "space_group": "C2/m",
  "final_energy_ry_per_atom": -0.358
}

***

{
  "formula": "PtCl2F8",
  "functional": "PBE-GGA",
  "state": "optimized geometry",
  "cell": [[5.300, 0.000, 2.329], [-0.674, 5.254, 1.534], [0.191, -0.390, 6.760]],
  "species": ["F", "F", "F", "F", "F", "F", "F", "F", "Pt", "Cl", "Cl"],
  "frac_coords": [[0.333, 0.938, 0.798], [0.868, 0.938, 0.798], [0.667, 0.062, 0.202], [0.397, 0.581, 0.205], [0.132, 0.062, 0.202], [0.919, 0.645, 0.162], [0.081, 0.355, 0.838], [0.603, 0.419, 0.795], [0.000, 0.000, 0.000], [0.741, 0.526, 0.519], [0.259, 0.474, 0.481]],
  "magnetic_moment_mub_per_atom": 0.085,
  "raw_formation_energy_mev_per_atom": -881,
  "n_ef_per_ev_fu": 4.32,
  "space_group": "C2/m",
  "final_energy_ry_per_atom": -0.230
}